Here is LiHoCd2 after structural relaxation from the Alexandria database. Energies are from PBE.

abc: 5.034 5.034 5.034
angles: 60.00 60.00 60.00
Fractional positions:
Li 0.000 0.000 0.000
Ho 0.500 0.500 0.500
Cd 0.250 0.250 0.250
Cd 0.750 0.750 0.750

Calculated values
Formation energy ... -25 kJ/mol of atoms
Magnetization ... 0.00 μB per cell
ΔE to the lowest computed polymorph ... 6 meV/atom